(1)
Entry from Alexandria via LeMat-Bulk: a relaxed structure of Cd2In2Hg7 (PBE-GGA).

Summary:
As for the distance to the lowest polymorph of the same formula: 0 meV per atom. As for the crystal system: monoclinic.

Cell: 7.819 6.210 6.210 Å, 99.87 82.71 82.71°
Fractional coordinates of all 11 atoms:
Hg 0.178 0.503 0.099
Hg 0.178 0.099 0.503
Hg 0.543 0.179 0.179
Hg 0.000 0.000 0.000
Hg 0.822 0.497 0.901
In 0.500 0.703 0.297
Hg 0.457 0.821 0.821
In 0.500 0.297 0.703
Cd 0.851 0.387 0.387
Cd 0.149 0.613 0.613
Hg 0.822 0.901 0.497

(2)
Entry from Alexandria via LeMat-Bulk: a relaxed structure of YCd4Ag (PBE-GGA).

Summary:
As for the distance to the lowest polymorph of the same formula: 118 meV per atom. As for the crystal system: cubic.

Cell: 5.801 5.801 5.801 Å, 60.00 60.00 60.00°
Fractional coordinates of all 6 atoms:
Cd 0.375 0.375 0.375
Cd 0.875 0.375 0.375
Cd 0.375 0.375 0.875
Y 0.750 0.750 0.750
Ag 0.000 0.000 0.000
Cd 0.375 0.875 0.375

Computed ρ (Mg/m³) in order:
10.60; 7.78
Computed formation energy (meV/atom) in order:
13; -70
Computed E (eV per atom) in order:
-0.843; -2.232